First-principles (PBE-GGA) data for a geometry-optimized ReSnP2S structure, as listed in the Alexandria database.

abc: 4.5123 4.5123 5.3877
angles: 90.00 90.00 90.00
Space group P4/mmm (No. 123)
Symmetry-distinct sites (fractional):
Re 0.0000 0.0000 0.0000
Sn 0.5000 0.5000 0.5000
P 0.0000 0.5000 0.0000
S 0.0000 0.0000 0.5000

Values from the calculation:
The volume is 21.939 Å³/atom. The energy relative to the elements, uncorrected comes out at 190 kJ/mol of formula units.